Entry 1:
The following is a PBE-GGA calculation of a relaxed TmPu2Pd9 crystal, from Alexandria via LeMat-Bulk.

The structure belongs to space group P4/mmm (No. 123); the cell edges are 4.1246, 4.1246 and 12.3855 Å and the angles 90.00°, 90.00° and 90.00°. The distinct sites, in fractional coordinates, are Tm at (0.0000, 0.0000, 0.0000), Pu at (0.0000, 0.0000, 0.3313), Pd at (0.0000, 0.5000, 0.1655), Pd at (0.0000, 0.5000, 0.5000), Pd at (0.5000, 0.5000, 0.0000) and Pd at (0.5000, 0.5000, 0.3322).

The volume comes out at 17.56 A^3/atom.

Entry 2:
The following is a PBE-GGA calculation of a relaxed TmPuPd3 crystal, from Alexandria via LeMat-Bulk.

The structure belongs to space group P2_1/c (No. 14); the cell edges are 8.4375, 5.5278 and 9.1903 Å and the angles 90.00°, 105.97° and 90.00°. The distinct sites, in fractional coordinates, are Tm at (0.1701, 0.2236, 0.1668), Pu at (0.2720, 0.7462, 0.9425), Pd at (0.0268, 0.7075, 0.1306), Pd at (0.3756, 0.2463, 0.9687) and Pd at (0.4966, 0.0008, 0.7480).

The volume comes out at 20.61 A^3/atom.

Entry 3:
The following is a PBE-GGA calculation of a relaxed TmPuPd14 crystal, from Alexandria via LeMat-Bulk.

The structure belongs to space group P4/mmm (No. 123); the cell edges are 5.7750, 5.7750 and 7.8845 Å and the angles 90.00°, 90.00° and 90.00°. The distinct sites, in fractional coordinates, are Tm at (0.0000, 0.0000, 0.0000), Pu at (0.5000, 0.5000, 0.0000), Pd at (0.0000, 0.0000, 0.5000), Pd at (0.0000, 0.5000, 0.0000), Pd at (0.0000, 0.5000, 0.5000), Pd at (0.2500, 0.2500, 0.2560) and Pd at (0.5000, 0.5000, 0.5000).

The volume comes out at 16.43 A^3/atom.

Entry 4:
The following is a PBE-GGA calculation of a relaxed Tm3PuPd12 crystal, from Alexandria via LeMat-Bulk.

The structure belongs to space group P4/mmm (No. 123); the cell edges are 4.1069, 4.1069 and 16.4166 Å and the angles 90.00°, 90.00° and 90.00°. The distinct sites, in fractional coordinates, are Tm at (0.0000, 0.0000, 0.0000), Tm at (0.0000, 0.0000, 0.2474), Pu at (0.0000, 0.0000, 0.5000), Pd at (0.0000, 0.5000, 0.1245), Pd at (0.0000, 0.5000, 0.3743), Pd at (0.5000, 0.5000, 0.0000), Pd at (0.5000, 0.5000, 0.2489) and Pd at (0.5000, 0.5000, 0.5000).

The volume comes out at 17.31 A^3/atom.

Entry 5:
The following is a PBE-GGA calculation of a relaxed TmPuPd crystal, from Alexandria via LeMat-Bulk.

The structure belongs to space group I4mm (No. 107); the cell edges are 3.4752, 3.4752 and 12.0640 Å and the angles 90.00°, 90.00° and 90.00°. The distinct sites, in fractional coordinates, are Tm at (0.0000, 0.0000, 0.0000), Pu at (0.0000, 0.0000, 0.7141) and Pd at (0.0000, 0.0000, 0.3732).

The volume comes out at 24.28 A^3/atom.

Entry 6:
The following is a PBE-GGA calculation of a relaxed TmPuPd4 crystal, from Alexandria via LeMat-Bulk.

The structure belongs to space group P4/mmm (No. 123); the cell edges are 3.9625, 3.9625 and 8.4098 Å and the angles 90.00°, 90.00° and 90.00°. The distinct sites, in fractional coordinates, are Tm at (0.0000, 0.0000, 0.0000), Pu at (0.5000, 0.5000, 0.5000) and Pd at (0.0000, 0.5000, 0.2449).

The volume comes out at 22.01 A^3/atom.

Entry 7:
The following is a PBE-GGA calculation of a relaxed TmPuPd4 crystal, from Alexandria via LeMat-Bulk.

The structure belongs to space group F-43m (No. 216); the cell edges are 7.6842, 7.6842 and 7.6842 Å and the angles 90.00°, 90.00° and 90.00°. The distinct sites, in fractional coordinates, are Tm at (0.0000, 0.0000, 0.0000), Pu at (0.2500, 0.2500, 0.7500) and Pd at (0.1250, 0.1250, 0.3750).

The volume comes out at 18.91 A^3/atom.

Entry 8:
The following is a PBE-GGA calculation of a relaxed TmPuPd6 crystal, from Alexandria via LeMat-Bulk.

The structure belongs to space group P4/mmm (No. 123); the cell edges are 4.1153, 4.1153 and 8.2400 Å and the angles 90.00°, 90.00° and 90.00°. The distinct sites, in fractional coordinates, are Tm at (0.0000, 0.0000, 0.0000), Pu at (0.0000, 0.0000, 0.5000), Pd at (0.0000, 0.5000, 0.2495), Pd at (0.5000, 0.5000, 0.0000) and Pd at (0.5000, 0.5000, 0.5000).

The volume comes out at 17.44 A^3/atom.

Entry 9:
The following is a PBE-GGA calculation of a relaxed PuUPd14 crystal, from Alexandria via LeMat-Bulk.

The structure belongs to space group P4/mmm (No. 123); the cell edges are 5.8185, 5.8185 and 7.8016 Å and the angles 90.00°, 90.00° and 90.00°. The distinct sites, in fractional coordinates, are Pu at (0.0000, 0.0000, 0.0000), U at (0.5000, 0.5000, 0.0000), Pd at (0.0000, 0.0000, 0.5000), Pd at (0.0000, 0.5000, 0.0000), Pd at (0.0000, 0.5000, 0.5000), Pd at (0.2544, 0.2544, 0.2519) and Pd at (0.5000, 0.5000, 0.5000).

The volume comes out at 16.51 A^3/atom.

Entry 10:
The following is a PBE-GGA calculation of a relaxed PuUPd crystal, from Alexandria via LeMat-Bulk.

The structure belongs to space group C2/m (No. 12); the cell edges are 11.3840, 2.8567 and 8.4110 Å and the angles 90.00°, 114.64° and 90.00°. The distinct sites, in fractional coordinates, are Pu at (0.1863, 0.0000, 0.1763), U at (0.1237, 0.5000, 0.5146) and Pd at (0.0666, 0.0000, 0.8112).

The volume comes out at 20.72 A^3/atom.

Entry 11:
The following is a PBE-GGA calculation of a relaxed PuUPd4 crystal, from Alexandria via LeMat-Bulk.

The structure belongs to space group F-43m (No. 216); the cell edges are 7.6764, 7.6764 and 7.6764 Å and the angles 90.00°, 90.00° and 90.00°. The distinct sites, in fractional coordinates, are Pu at (0.0000, 0.0000, 0.0000), U at (0.2500, 0.2500, 0.7500) and Pd at (0.1248, 0.1248, 0.3752).

The volume comes out at 18.85 A^3/atom.

Entry 12:
The following is a PBE-GGA calculation of a relaxed PuUPd crystal, from Alexandria via LeMat-Bulk.

The structure belongs to space group C2/m (No. 12); the cell edges are 6.0553, 3.3764 and 11.1289 Å and the angles 90.00°, 91.33° and 90.00°. The distinct sites, in fractional coordinates, are Pu at (0.1490, 0.0000, 0.4336), U at (0.1764, 0.5000, 0.2679) and Pd at (0.1611, 0.5000, 0.9122).

The volume comes out at 18.96 A^3/atom.

| no. | density of states at the Fermi level (states/eV/f.u.) | energy of formation (eV/f.u.) |
| --- | --- | --- |
| 1 | 34.08 | -8.2 |
| 2 | 15.83 | -3.2 |
| 3 | 28.81 | -5.8 |
| 4 | 23.30 | -13.2 |
| 5 | 9.13 | -1.1 |
| 6 | 17.18 | -3.1 |
| 7 | 17.58 | -4.0 |
| 8 | 17.71 | -5.9 |
| 9 | 26.44 | -5.0 |
| 10 | 6.46 | -0.2 |
| 11 | 11.15 | -2.7 |
| 12 | 5.41 | -0.2 |